(1)
The following is a PBE calculation of a relaxed structure of Er4Tm, from the Alexandria database.

Cell lengths 5.581, 5.581, 5.581 Å; angles 90.00, 90.00, 90.00 degrees
Fractional coordinates of all 5 atoms:
Er (0.000, 0.000, 0.000)
Er (0.000, 0.500, 0.500)
Er (0.500, 0.000, 0.500)
Er (0.500, 0.500, 0.000)
Tm (0.500, 0.500, 0.500)

For the total magnetic moment, the calculation gives 0.00 μB/cell. As for the formation energy: 0.7489 eV per atom.

(2)
The following is a PBE calculation of a relaxed structure of BeNb3Ga, from the Alexandria database.

Cell lengths 4.410, 4.410, 4.410 Å; angles 90.00, 90.00, 90.00 degrees
Fractional coordinates of all 5 atoms:
Be (0.000, 0.000, 0.000)
Nb (0.000, 0.000, 0.500)
Nb (0.000, 0.500, 0.000)
Nb (0.500, 0.000, 0.000)
Ga (0.500, 0.500, 0.500)

For the total magnetic moment, the calculation gives 0.00 μB/cell. As for the formation energy: 0.3315 eV per atom.